Density functional theory data (PBE) for a geometry-optimized LuMgAl2 structure.

```
LuMgAl2
1.0
-2.125 2.211 2.977
-0.823 -3.682 2.148
3.676 0.494 2.256
Mg Lu Al
1 1 2
direct
0.500 0.000 0.000
0.500 0.500 0.500
0.000 0.000 0.500
0.000 0.500 0.000
```

Summary:
Energy relative to the elements ... -0.2976 eV/atom
Space group ... P4/mmm (123)
Uncorrected energy ... -3.6978 eV/atom
Size of the total moment ... 0.0 μB per cell
V ... 80.56 Å³ per cell

---

Density functional theory data (PBE) for a geometry-optimized Lu2MgAl structure.

```
Lu2MgAl
1.0
-3.298 -1.038 0.994
1.229 -3.327 0.603
1.523 1.824 6.957
Mg Lu Al
1 2 1
direct
0.500 0.500 0.500
0.000 0.000 0.765
0.000 0.000 0.235
0.500 0.500 0.000
```

Summary:
Energy relative to the elements ... -0.2336 eV/atom
Space group ... P4/mmm (123)
Uncorrected energy ... -3.8284 eV/atom
Size of the total moment ... 0.0 μB per cell
V ... 95.14 Å³ per cell

---

Density functional theory data (PBE) for a geometry-optimized LuMg2Al structure.

```
LuMg2Al
1.0
-0.831 4.271 -1.866
-4.039 -1.209 -0.968
-1.350 1.422 3.856
Mg Lu Al
2 1 1
direct
0.000 0.000 0.500
0.000 0.500 0.000
0.500 0.500 0.500
0.500 0.000 0.000
```

Summary:
Energy relative to the elements ... -0.1727 eV/atom
Space group ... P4/mmm (123)
Uncorrected energy ... -3.0359 eV/atom
Size of the total moment ... 0.0 μB per cell
V ... 88.60 Å³ per cell